<1>
First-principles (GGA-PBE) data for an optimized crystal structure of K2BaAu, as listed in the Alexandria database.

Structure (POSCAR):
```
K2BaAu
1.0
10.315 0.024 -0.025
9.454 4.126 -0.025
1.258 0.264 4.908
Ba Au K
1 1 2
Direct
0.250 0.250 0.250
0.750 0.750 0.750
0.086 0.086 0.913
0.414 0.414 0.587
```

=====

<2>
First-principles (GGA-PBE) data for an optimized crystal structure of K2BaAu, as listed in the Alexandria database.

Structure (POSCAR):
```
K2BaAu
1.0
11.273 0.000 0.000
0.000 11.273 0.000
5.637 5.637 3.309
K Ba Au
4 2 2
Direct
0.375 0.271 0.750
0.729 0.125 0.250
0.021 0.625 0.250
0.875 0.979 0.750
0.500 0.500 0.000
0.250 0.750 0.500
0.750 0.250 0.500
0.000 0.000 0.000
```

=====

The most stable arrangement is <1>, and the next structure is 118 meV/atom less stable.

=====

<1>
First-principles (GGA-PBE) data for an optimized crystal structure of KBa4Au, as listed in the Alexandria database.

Structure (POSCAR):
```
KBa4Au
1.0
0.962 4.183 6.649
-4.657 6.229 1.464
-5.436 -0.386 5.739
Ba Au K
4 1 1
Direct
0.374 0.374 0.877
0.877 0.374 0.374
0.374 0.877 0.374
0.374 0.374 0.374
0.000 0.000 0.000
0.750 0.750 0.750
```

=====

<2>
First-principles (GGA-PBE) data for an optimized crystal structure of KBa4Au, as listed in the Alexandria database.

Structure (POSCAR):
```
KBa4Au
1.0
6.569 0.000 -1.738
0.000 9.147 0.000
-0.328 0.000 12.042
K Ba Au
2 8 2
Direct
0.393 0.750 0.786
0.607 0.250 0.214
0.391 0.250 0.781
0.197 0.498 0.393
0.000 0.500 0.000
0.803 0.502 0.607
0.803 0.998 0.607
0.609 0.750 0.219
0.000 0.000 0.000
0.197 0.002 0.393
0.100 0.750 0.200
0.900 0.250 0.800
```

=====

The most stable arrangement is <2>, and the next structure is 573 meV/atom less stable.

=====

<1>
First-principles (GGA-PBE) data for an optimized crystal structure of KBaAu4, as listed in the Alexandria database.

Structure (POSCAR):
```
KBaAu4
1.0
-3.971 3.746 2.377
-0.429 5.575 -2.046
-4.779 1.659 -3.141
K Au Ba
1 4 1
Direct
0.000 0.000 0.000
0.374 0.374 0.877
0.374 0.374 0.374
0.374 0.877 0.374
0.877 0.374 0.374
0.750 0.750 0.750
```

=====

<2>
First-principles (GGA-PBE) data for an optimized crystal structure of KBaAu4, as listed in the Alexandria database.

Structure (POSCAR):
```
KBaAu4
1.0
0.585 -4.307 2.097
5.929 -2.385 -1.000
2.038 0.550 6.115
Au Ba K
4 1 1
Direct
0.333 0.422 0.412
0.667 0.578 0.588
0.333 0.912 0.922
0.667 0.088 0.078
0.000 0.500 0.000
0.000 0.000 0.500
```

=====

The most stable arrangement is <2>, and the next structure is 94 meV/atom less stable.

=====

<1>
First-principles (GGA-PBE) data for an optimized crystal structure of KBa2Au2, as listed in the Alexandria database.

Structure (POSCAR):
```
KBa2Au2
1.0
5.724 0.000 0.000
0.000 5.724 0.000
2.862 2.862 6.221
Au K Ba
2 1 2
Direct
0.612 0.612 0.776
0.388 0.388 0.224
0.000 0.000 0.000
0.250 0.750 0.500
0.750 0.250 0.500
```

=====

<2>
First-principles (GGA-PBE) data for an optimized crystal structure of KBa2Au2, as listed in the Alexandria database.

Structure (POSCAR):
```
KBa2Au2
1.0
-5.899 1.036 -0.587
0.014 -2.905 -5.270
-4.283 -6.753 0.275
Au Ba K
2 2 1
Direct
0.750 0.250 0.500
0.250 0.750 0.500
0.664 0.664 0.673
0.336 0.336 0.327
0.000 0.000 0.000
```

=====

The most stable arrangement is <1>, and the next structure is 66 meV/atom less stable.